[1]
DyYHgC: relaxed, PBE-GGA.

Lattice parameters (Å, degrees): 6.272 3.626 8.069 90.00 104.90 90.00
Element x y z (fractional)
Dy (0.000, 0.000, 0.000)
Dy (0.500, 0.500, 0.000)
Y (0.218, 0.000, 0.654)
Y (0.718, 0.500, 0.654)
Hg (0.278, 0.500, 0.332)
Hg (0.778, 0.000, 0.332)
C (0.111, 0.500, 0.832)
C (0.611, 0.000, 0.832)

Results
- spin magnetization (μB/atom) = 0.00
- theoretical density (g cm⁻³) = 8.69
- formation energy (eV/atom) = -0.381
- density of states at the Fermi level (states/eV/f.u.) = 3.4

=====

[2]
KTlTc: relaxed, PBE-GGA.

Lattice parameters (Å, degrees): 3.787 3.787 12.613 90.00 90.00 90.00
Element x y z (fractional)
K (0.000, 0.000, 0.000)
K (0.500, 0.500, 0.500)
Tl (0.000, 0.000, 0.730)
Tl (0.500, 0.500, 0.230)
Tc (0.000, 0.000, 0.272)
Tc (0.500, 0.500, 0.772)

Results
- spin magnetization (μB/atom) = 0.42
- theoretical density (g cm⁻³) = 6.27
- offset from the most stable computed form (eV/atom) = 0.0498
- formation energy (eV/atom) = 0.898
- density of states at the Fermi level (states/eV/f.u.) = 3.7

=====

[3]
Sc2AlFe5Si2: relaxed, PBE-GGA.

Lattice parameters (Å, degrees): 9.146 9.146 3.203 90.00 90.00 90.00
Element x y z (fractional)
Sc (0.172, 0.328, 0.000)
Sc (0.328, 0.828, 0.000)
Sc (0.672, 0.172, 0.000)
Sc (0.828, 0.672, 0.000)
Al (0.000, 0.000, 0.000)
Al (0.500, 0.500, 0.000)
Fe (0.000, 0.500, 0.500)
Fe (0.066, 0.795, 0.500)
Fe (0.205, 0.066, 0.500)
Fe (0.295, 0.566, 0.500)
Fe (0.434, 0.295, 0.500)
Fe (0.500, 0.000, 0.500)
Fe (0.566, 0.705, 0.500)
Fe (0.705, 0.434, 0.500)
Fe (0.795, 0.934, 0.500)
Fe (0.934, 0.205, 0.500)
Si (0.126, 0.626, 0.000)
Si (0.374, 0.126, 0.000)
Si (0.626, 0.874, 0.000)
Si (0.874, 0.374, 0.000)

Results
- formation energy without anion corrections (eV per atom) = -0.379
- spin magnetization (μB/atom) = 0.41
- theoretical density (g cm⁻³) = 5.61
- density of states at the Fermi level (states/eV/f.u.) = 8.8

=====

[4]
CoIrOs2: relaxed, PBE-GGA.

Lattice parameters (Å, degrees): 8.939 2.709 9.167 90.00 100.93 90.00
Element x y z (fractional)
Co (0.131, 0.000, 0.441)
Co (0.369, 0.500, 0.559)
Co (0.631, 0.500, 0.441)
Co (0.869, 0.000, 0.559)
Ir (0.119, 0.500, 0.677)
Ir (0.381, 0.000, 0.323)
Ir (0.619, 0.000, 0.677)
Ir (0.881, 0.500, 0.323)
Os (0.123, 0.000, 0.937)
Os (0.130, 0.500, 0.193)
Os (0.370, 0.000, 0.807)
Os (0.377, 0.500, 0.063)
Os (0.623, 0.500, 0.937)
Os (0.630, 0.000, 0.193)
Os (0.870, 0.500, 0.807)
Os (0.877, 0.000, 0.063)

Results
- spin magnetization (μB/atom) = 0.37
- theoretical density (g cm⁻³) = 19.25
- offset from the most stable computed form (eV/atom) = 0.0069
- formation energy (eV/atom) = 0.098
- density of states at the Fermi level (states/eV/f.u.) = 4.3